(1)
Entry from Alexandria: crystalline Pm6P2SBr3 at its relaxed geometry (PBE-GGA).

Values from the calculation:
- E_form (uncorrected) (meV/atom) = -1536
- crystal system = monoclinic

```
Pm6P2SBr3
1.0
-0.7064 6.3943 3.0970
2.3165 -5.5767 3.8094
6.2607 1.3382 -4.0787
Pm Br P S
6 3 2 1
direct
0.0660 0.3989 0.1986 Pm
0.9340 0.6011 0.8014 Pm
0.3989 0.0660 0.1986 Pm
0.7340 0.7340 0.1992 Pm
0.6011 0.9340 0.8014 Pm
0.2660 0.2660 0.8008 Pm
0.8309 0.1691 0.5000 Br
0.5000 0.5000 0.5000 Br
0.1691 0.8309 0.5000 Br
0.6663 0.3337 0.0000 P
0.3337 0.6663 0.0000 P
0.0000 0.0000 0.0000 S
```

(2)
Entry from Alexandria: crystalline Tb2HoTh at its relaxed geometry (PBE-GGA).

Values from the calculation:
- DFT formation energy (meV per atom) = 25
- E above lowest polymorph (meV per atom) = 18
- crystal system = trigonal

```
Tb2HoTh
1.0
3.5684 0.0000 0.0000
1.7842 3.0903 0.0000
1.7842 1.0301 11.5543
Ho Tb Th
1 2 1
direct
0.0000 0.0000 0.0000 Ho
0.7510 0.7510 0.7469 Tb
0.2490 0.2490 0.2531 Tb
0.5000 0.5000 0.5000 Th
```

(3)
Entry from Alexandria: crystalline LiOs3Pt at its relaxed geometry (PBE-GGA).

Values from the calculation:
- DFT formation energy (meV per atom) = 1242
- E above lowest polymorph (meV per atom) = 0
- crystal system = cubic

```
LiOs3Pt
1.0
-2.8453 2.8834 -0.5695
-2.5315 -2.0016 2.5138
1.4932 2.1008 3.1766
Os Pt Li
3 1 1
direct
0.0000 0.0000 0.5000 Os
0.0000 0.5000 0.0000 Os
0.5000 0.0000 0.0000 Os
0.5000 0.5000 0.5000 Pt
0.0000 0.0000 0.0000 Li
```

(4)
Entry from Alexandria: crystalline Zr2HgAu at its relaxed geometry (PBE-GGA).

Values from the calculation:
- DFT formation energy (meV per atom) = -328
- crystal system = tetragonal

```
Zr2HgAu
1.0
3.1730 0.0000 0.0001
0.0000 3.1729 0.0000
-0.0001 0.0000 8.2489
Au Zr Hg
1 2 1
direct
0.5000 0.5000 0.0000 Au
0.0000 0.0000 0.2406 Zr
0.0000 0.0000 0.7594 Zr
0.5000 0.5000 0.5000 Hg
```

no.,density of states at the Fermi level (states/eV per cell)
1,5.10
2,5.97
3,4.59
4,4.44